# 1
A relaxed PmDyPb crystal, computed with GGA-PBE.

Lattice parameters (Å, degrees): 4.1645 4.1645 5.8881 110.71 110.71 90.00
Positions (direct):
Pm 0.9567 0.9567 0.9133
Dy 0.2738 0.2738 0.5475
Pb 0.6196 0.6196 0.2392

Results
The density of states at the Fermi level comes out at 1.38 states/eV per atom. As for the space-group type: I4mm. The calculation puts the energy relative to the lowest polymorph listed for this composition at 154 meV/atom. The formation energy comes out at -0.291 eV/atom.

---

# 2
A relaxed KZrNb2O8 crystal, computed with GGA-PBE.

Lattice parameters (Å, degrees): 6.2364 6.2364 6.2364 105.82 105.82 117.05
Positions (direct):
Nb 0.7500 0.2500 0.5000
O 0.9569 0.6299 0.6730
Zr 0.2500 0.7500 0.5000
O 0.4388 0.6523 0.7866
O 0.3477 0.1343 0.7866
O 0.8657 0.6523 0.2134
O 0.7160 0.0431 0.6730
O 0.3701 0.0431 0.3270
K 0.0000 0.0000 0.0000
Nb 0.5000 0.5000 0.0000
O 0.9569 0.2840 0.3270
O 0.3477 0.5612 0.2134

Results
The density of states at the Fermi level comes out at 0.65 states/eV per atom. The calculation puts the formation energy (no corrections) at -2.30 eV/atom. As for the space-group type: I-4m2.

---

# 3
A relaxed Th4ZnH3Rh12 crystal, computed with GGA-PBE.

Lattice parameters (Å, degrees): 7.3720 7.3720 7.3720 109.47 109.47 109.47
Positions (direct):
Rh 0.0000 0.2829 0.2829
Th 0.0000 0.0000 0.5000
Rh 0.2500 0.5000 0.7500
Rh 0.5000 0.2500 0.7500
Rh 0.7500 0.2500 0.5000
Rh 0.5000 0.7500 0.2500
Rh 0.7171 0.0000 0.7171
H 0.0000 0.5000 0.5000
Rh 0.2500 0.7500 0.5000
H 0.5000 0.5000 0.0000
H 0.5000 0.0000 0.5000
Th 0.5000 0.5000 0.5000
Rh 0.2829 0.2829 0.0000
Th 0.5000 0.0000 0.0000
Rh 0.7500 0.5000 0.2500
Th 0.0000 0.5000 0.0000
Rh 0.7171 0.7171 0.0000
Rh 0.0000 0.7171 0.7171
Rh 0.2829 0.0000 0.2829
Zn 0.0000 0.0000 0.0000

Results
The density of states at the Fermi level comes out at 0.68 states/eV per atom. As for the space-group type: Im-3m. Its energy is -7.102 eV/atom.

---

Question: Number 3 is which compound?
Answer: Th4ZnH3Rh12